## FeNiHRu2 (PBE-GGA)

Data for a geometry-optimized FeNiHRu2 structure.

Properties
- Final energy: -7.09 eV per atom
- SG: No. 123
- Energy relative to the lowest polymorph listed for this composition: 0.15 eV per formula unit

Cell lengths 3.807, 3.807, 3.677 Å; angles 90.00, 90.00, 90.00 degrees
Element x y z (fractional)
Ru (0.000, 0.500, 0.000)
Ru (0.500, 0.000, 0.000)
Fe (0.000, 0.000, 0.500)
H (0.000, 0.000, 0.000)
Ni (0.500, 0.500, 0.500)

## FeNi2HRu (PBE-GGA)

Data for a geometry-optimized FeNi2HRu structure.

Properties
- Final energy: -6.42 eV per atom
- SG: No. 123
- Energy relative to the lowest polymorph listed for this composition: 0.28 eV per formula unit

Cell lengths 3.604, 3.604, 3.838 Å; angles 90.00, 90.00, 90.00 degrees
Element x y z (fractional)
Ru (0.500, 0.500, 0.500)
Fe (0.000, 0.000, 0.500)
H (0.000, 0.000, 0.000)
Ni (0.000, 0.500, 0.000)
Ni (0.500, 0.000, 0.000)

## FeNi2HRu (PBE-GGA)

Data for a geometry-optimized FeNi2HRu structure.

Properties
- Final energy: -6.48 eV per atom
- SG: No. 123
- Energy relative to the lowest polymorph listed for this composition: 0.00 eV per formula unit

Cell lengths 3.636, 3.636, 3.840 Å; angles 90.00, 90.00, 90.00 degrees
Element x y z (fractional)
Ru (0.000, 0.000, 0.500)
Fe (0.500, 0.500, 0.500)
H (0.000, 0.000, 0.000)
Ni (0.000, 0.500, 0.000)
Ni (0.500, 0.000, 0.000)